[1]
Material: CrFe2Re
Method: DFT, GGA-PBEsol
State: optimized geometry

Summary:
Crystal system: cubic
Space-group type: F-43m
Magnetic moment in μB/cell: 4.5
Formation energy from the elements in eV per atom: 0.11

a b c (Å): 4.0699 4.0699 4.0699
angles (deg): 60.00 60.00 60.00
Site moments in Bohr magnetons follow the coordinates.
Positions (direct):
Fe  0.0000  0.0000  0.0000  1.93
Fe  0.7500  0.7500  0.7500  2.17
Cr  0.5000  0.5000  0.5000  0.51
Re  0.2500  0.2500  0.2500  -0.05

***

[2]
Material: CrFe2Re
Method: DFT, GGA-PBEsol
State: optimized geometry

Summary:
Crystal system: monoclinic
Space-group type: Pm
Magnetic moment in μB/cell: 4.2
Formation energy from the elements in eV per atom: 0.10

a b c (Å): 2.5023 4.0593 4.7807
angles (deg): 90.00 99.03 90.00
Site moments in Bohr magnetons follow the coordinates.
Positions (direct):
Cr  0.2560  0.5000  0.7616  -0.03
Fe  0.7661  0.5000  0.2388  2.14
Fe  0.9907  0.0000  0.0016  2.12
Re  0.4872  0.0000  0.4980  -0.02

***

[3]
Material: CrFe2Re
Method: DFT, GGA-PBEsol
State: optimized geometry

Summary:
Crystal system: orthorhombic
Space-group type: Immm
Magnetic moment in μB/cell: 4.3
Formation energy from the elements in eV per atom: 0.10

a b c (Å): 2.9509 3.9721 4.7572
angles (deg): 114.68 108.07 90.00
Site moments in Bohr magnetons follow the coordinates.
Positions (direct):
Fe  0.7454  0.7454  0.4907  2.08
Fe  0.2546  0.2546  0.5093  2.08
Cr  0.0000  0.5000  0.0000  0.28
Re  0.5000  0.0000  0.0000  -0.09